{"formula": "NdTh2Pt2", "functional": "PBE", "state": "optimized geometry", "formation_energy_ev_per_fu": -4.75, "sg": "P4/mbm", "cell": [[8.211, 0.000, 0.000], [0.000, 8.211, 0.000], [0.000, 0.000, 3.839]], "species": ["Nd", "Nd", "Th", "Th", "Th", "Th", "Pt", "Pt", "Pt", "Pt"], "frac_coords": [[0.000, 0.000, 0.000], [0.500, 0.500, 0.000], [0.167, 0.333, 0.500], [0.333, 0.833, 0.500], [0.667, 0.167, 0.500], [0.833, 0.667, 0.500], [0.129, 0.629, 0.000], [0.371, 0.129, 0.000], [0.629, 0.871, 0.000], [0.871, 0.371, 0.000]]}

***

{"formula": "La2PmDyBi5", "functional": "PBE", "state": "optimized geometry", "formation_energy_ev_per_fu": -2.48, "sg": "P4/mmm", "cell": [[5.448, 0.000, 0.000], [0.000, 5.448, 0.000], [0.000, 0.000, 12.080]], "species": ["La", "La", "Pm", "Dy", "Bi", "Bi", "Bi", "Bi", "Bi"], "frac_coords": [[0.000, 0.000, 0.222], [0.000, 0.000, 0.778], [0.500, 0.500, 0.500], [0.500, 0.500, 0.000], [0.000, 0.000, 0.500], [0.000, 0.500, 0.000], [0.500, 0.000, 0.000], [0.500, 0.500, 0.251], [0.500, 0.500, 0.749]]}

***

{"formula": "YRu2Pt2", "functional": "PBE", "state": "optimized geometry", "formation_energy_ev_per_fu": -0.58, "sg": "P4/mbm", "relative_energy_kj_per_mol_atoms": 15.4, "cell": [[7.705, 0.000, 0.000], [0.000, 7.705, 0.000], [0.000, 0.000, 2.887]], "species": ["Y", "Y", "Ru", "Ru", "Ru", "Ru", "Pt", "Pt", "Pt", "Pt"], "frac_coords": [[0.000, 0.000, 0.000], [0.500, 0.500, 0.000], [0.175, 0.325, 0.500], [0.325, 0.825, 0.500], [0.675, 0.175, 0.500], [0.825, 0.675, 0.500], [0.124, 0.624, 0.000], [0.376, 0.124, 0.000], [0.624, 0.876, 0.000], [0.876, 0.376, 0.000]]}

***

{"formula": "La2CoC", "functional": "PBE", "state": "optimized geometry", "formation_energy_ev_per_fu": -0.49, "sg": "Pmmn", "cell": [[3.701, 0.000, 0.000], [0.000, 5.472, 0.000], [0.000, 0.000, 9.052]], "species": ["La", "La", "La", "La", "Co", "Co", "C", "C"], "frac_coords": [[0.250, 0.250, 0.086], [0.250, 0.750, 0.383], [0.750, 0.250, 0.617], [0.750, 0.750, 0.914], [0.250, 0.750, 0.666], [0.750, 0.250, 0.334], [0.250, 0.250, 0.362], [0.750, 0.750, 0.638]]}

***

{"formula": "AcTb3Pm6Nd2", "functional": "PBE", "state": "optimized geometry", "formation_energy_ev_per_fu": 0.30, "sg": "C2/m", "cell": [[3.174, -5.498, 0.000], [3.174, 5.498, 0.000], [-2.123, 0.000, 11.954]], "species": ["Ac", "Tb", "Tb", "Tb", "Pm", "Pm", "Pm", "Pm", "Pm", "Pm", "Nd", "Nd"], "frac_coords": [[0.000, 0.000, 0.000], [0.167, 0.833, 0.500], [0.500, 0.500, 0.500], [0.833, 0.167, 0.500], [0.086, 0.421, 0.256], [0.250, 0.250, 0.744], [0.421, 0.086, 0.256], [0.579, 0.914, 0.744], [0.750, 0.750, 0.256], [0.914, 0.579, 0.744], [0.333, 0.667, 0.000], [0.667, 0.333, 0.000]]}

***

{"formula": "Ca2PrNi2", "functional": "PBE", "state": "optimized geometry", "formation_energy_ev_per_fu": -0.59, "sg": "C2/c", "cell": [[6.589, -2.947, 0.000], [6.589, 2.947, 0.000], [-3.565, 0.000, 6.512]], "species": ["Ca", "Ca", "Ca", "Ca", "Pr", "Pr", "Ni", "Ni", "Ni", "Ni"], "frac_coords": [[0.131, 0.282, 0.297], [0.282, 0.131, 0.797], [0.718, 0.869, 0.203], [0.869, 0.718, 0.703], [0.369, 0.631, 0.250], [0.631, 0.369, 0.750], [0.113, 0.807, 0.565], [0.193, 0.887, 0.935], [0.807, 0.113, 0.065], [0.887, 0.193, 0.435]]}

***

{"formula": "TaBeAlSb2", "functional": "PBE", "state": "optimized geometry", "sg": "P4/mmm", "e_form_raw_ev_per_atom": 1.217, "cell": [[5.250, 0.000, 0.000], [0.000, 5.250, 0.000], [0.000, 0.000, 4.088]], "species": ["Ta", "Be", "Al", "Sb", "Sb"], "frac_coords": [[0.000, 0.000, 0.000], [0.500, 0.500, 0.000], [0.500, 0.500, 0.500], [0.000, 0.500, 0.500], [0.500, 0.000, 0.500]]}

***

{"formula": "K8BiTe2", "functional": "PBE", "state": "optimized geometry", "sg": "Immm", "e_form_raw_ev_per_atom": -0.621, "cell": [[-2.879, 4.544, 8.908], [2.879, -4.544, 8.908], [2.879, 4.544, -8.908]], "species": ["K", "K", "K", "K", "K", "K", "K", "K", "Bi", "Te", "Te"], "frac_coords": [[0.130, 0.349, 0.781], [0.154, 0.154, 0.000], [0.296, 0.000, 0.296], [0.432, 0.651, 0.781], [0.568, 0.349, 0.219], [0.704, 0.000, 0.704], [0.846, 0.846, 0.000], [0.870, 0.651, 0.219], [0.000, 0.500, 0.500], [0.303, 0.803, 0.500], [0.697, 0.197, 0.500]]}

***

Copy entry 7 word for word.
{"formula": "TaBeAlSb2", "functional": "PBE", "state": "optimized geometry", "sg": "P4/mmm", "e_form_raw_ev_per_atom": 1.217, "cell": [[5.250, 0.000, 0.000], [0.000, 5.250, 0.000], [0.000, 0.000, 4.088]], "species": ["Ta", "Be", "Al", "Sb", "Sb"], "frac_coords": [[0.000, 0.000, 0.000], [0.500, 0.500, 0.000], [0.500, 0.500, 0.500], [0.000, 0.500, 0.500], [0.500, 0.000, 0.500]]}